# 1
## Sc2In4Hg (PBE)

Data for a geometry-optimized Sc2In4Hg structure.

abc: 6.131 6.131 6.131
angles: 112.89 112.89 102.83
Fractional positions:
Sc1 0.000 0.500 0.500
Sc2 0.500 0.000 0.500
In1 0.000 0.000 0.500
In2 0.000 0.500 0.000
In3 0.500 0.000 0.000
In4 0.500 0.500 0.500
Hg1 0.000 0.000 0.000

Values from the calculation:
Its formation energy is -0.1956 eV/atom. As for the volume: 25.09 Å³/atom. The raw total energy is -3.613 eV per atom. For the density, the calculation gives 7.09 g/cm³.

# 2
## CsRbTl2Cu (PBE)

Data for a geometry-optimized CsRbTl2Cu structure.

abc: 5.525 5.525 6.446
angles: 90.00 90.00 90.00
Fractional positions:
Cs1 0.000 0.000 0.000
Rb1 0.500 0.500 0.000
Tl1 0.000 0.500 0.500
Tl2 0.500 0.000 0.500
Cu1 0.500 0.500 0.500

Values from the calculation:
Its formation energy is 0.1556 eV/atom. As for the volume: 39.36 Å³/atom. The raw total energy is -1.974 eV per atom. For the density, the calculation gives 5.83 g/cm³.

# 3
## Rb2HfSBr6 (PBE)

Data for a geometry-optimized Rb2HfSBr6 structure.

abc: 7.978 7.978 7.978
angles: 113.92 113.92 100.89
Fractional positions:
Rb1 0.250 0.750 0.500
Rb2 0.750 0.250 0.500
Hf1 0.000 0.000 0.000
S1 0.500 0.500 0.000
Br1 0.213 0.213 0.427
Br2 0.213 0.787 0.000
Br3 0.258 0.258 0.000
Br4 0.742 0.742 0.000
Br5 0.787 0.213 0.000
Br6 0.787 0.787 0.573

Values from the calculation:
As for the volume: 38.44 Å³/atom. The raw total energy is -3.742 eV per atom. Its formation energy from raw total energies is -1.1362 eV per atom. For the density, the calculation gives 3.72 g/cm³.

# 4
## KLiF3 (PBE)

Data for a geometry-optimized KLiF3 structure.

abc: 5.611 8.898 6.495
angles: 90.00 90.00 90.00
Fractional positions:
K1 0.000 0.000 0.000
K2 0.000 0.500 0.000
K3 0.500 0.000 0.500
K4 0.500 0.500 0.500
Li1 0.034 0.250 0.400
Li2 0.466 0.750 0.900
Li3 0.534 0.250 0.100
Li4 0.966 0.750 0.600
F1 0.033 0.587 0.408
F2 0.033 0.913 0.408
F3 0.154 0.750 0.826
F4 0.346 0.250 0.326
F5 0.467 0.087 0.908
F6 0.467 0.413 0.908
F7 0.533 0.587 0.092
F8 0.533 0.913 0.092
F9 0.654 0.750 0.674
F10 0.846 0.250 0.174
F11 0.967 0.087 0.592
F12 0.967 0.413 0.592

Values from the calculation:
As for the volume: 16.21 Å³/atom. For the polymorph energy (0 for the lowest one), the calculation gives 12 meV per atom. The raw total energy is -4.017 eV per atom. Its formation energy from raw total energies is -2.2916 eV per atom. For the density, the calculation gives 2.11 g/cm³.

# 5
## La7FeBr12 (PBE)

Data for a geometry-optimized La7FeBr12 structure.

abc: 9.671 9.671 9.671
angles: 106.31 106.31 106.31
Fractional positions:
La1 0.000 0.000 0.000
La2 0.195 0.484 0.396
La3 0.396 0.195 0.484
La4 0.484 0.396 0.195
La5 0.516 0.604 0.805
La6 0.604 0.805 0.516
La7 0.805 0.516 0.604
Fe1 0.500 0.500 0.500
Br1 0.040 0.126 0.334
Br2 0.126 0.334 0.040
Br3 0.176 0.568 0.715
Br4 0.285 0.824 0.432
Br5 0.334 0.040 0.126
Br6 0.432 0.285 0.824
Br7 0.568 0.715 0.176
Br8 0.666 0.960 0.874
Br9 0.715 0.176 0.568
Br10 0.824 0.432 0.285
Br11 0.874 0.666 0.960
Br12 0.960 0.874 0.666

Values from the calculation:
As for the volume: 38.36 Å³/atom. The raw total energy is -4.799 eV per atom. Its formation energy from raw total energies is -1.6473 eV per atom. For the density, the calculation gives 4.30 g/cm³.

# 6
## LaMo (PBE)

Data for a geometry-optimized LaMo structure.

abc: 5.699 5.699 5.699
angles: 90.00 90.00 90.00
Fractional positions:
La1 0.084 0.416 0.584
La2 0.416 0.584 0.084
La3 0.584 0.084 0.416
La4 0.916 0.916 0.916
Mo1 0.092 0.908 0.408
Mo2 0.408 0.092 0.908
Mo3 0.592 0.592 0.592
Mo4 0.908 0.408 0.092

Values from the calculation:
Its formation energy is 0.8743 eV/atom. As for the volume: 23.14 Å³/atom. For the polymorph energy (0 for the lowest one), the calculation gives 633 meV per atom. The raw total energy is -7.005 eV per atom. For the density, the calculation gives 8.43 g/cm³.